No. 1
Compound: RbNdAu2I6
Source: Alexandria
Functional: PBE
Structure: optimized geometry

a b c (Å): 8.018 7.983 9.913
angles (deg): 90.02 113.25 120.35
Element x y z (fractional)
I  0.818  0.753  0.193
Nd  0.996  0.998  0.980
I  0.140  0.387  0.192
Au  0.527  0.259  0.779
Rb  0.997  0.498  0.480
I  0.450  0.069  0.195
I  0.543  0.927  0.765
I  0.174  0.242  0.766
I  0.855  0.608  0.770
Au  0.466  0.737  0.181

Output
- ΔE_f (raw) (eV per atom) = -0.826

No. 2
Compound: Nd6Rh2AuI3
Source: Alexandria
Functional: PBE
Structure: optimized geometry

a b c (Å): 7.367 7.367 8.480
angles (deg): 98.32 98.32 119.99
Element x y z (fractional)
Rh  0.333  0.667  0.000
Nd  0.288  0.288  0.812
Nd  0.063  0.413  0.188
Au  0.000  0.000  0.000
Nd  0.587  0.937  0.812
I  0.835  0.165  0.500
Nd  0.937  0.587  0.812
Nd  0.712  0.712  0.188
I  0.165  0.835  0.500
I  0.500  0.500  0.500
Rh  0.667  0.333  0.000
Nd  0.413  0.063  0.188

Output
- ΔE_f (raw) (eV per atom) = -0.915

No. 3
Compound: Nd6Ru2AuI3
Source: Alexandria
Functional: PBE
Structure: optimized geometry

a b c (Å): 7.324 7.324 8.525
angles (deg): 98.22 98.22 119.98
Element x y z (fractional)
Au  0.000  0.000  0.000
Nd  0.063  0.418  0.188
I  0.166  0.834  0.500
Ru  0.667  0.333  0.000
Ru  0.333  0.667  0.000
Nd  0.706  0.706  0.187
Nd  0.418  0.063  0.188
Nd  0.937  0.582  0.812
I  0.500  0.500  0.500
I  0.834  0.166  0.500
Nd  0.582  0.937  0.812
Nd  0.294  0.294  0.813

Output
- ΔE_f (raw) (eV per atom) = -0.767

No. 4
Compound: Nd6Si2AuI3
Source: Alexandria
Functional: PBE
Structure: optimized geometry

a b c (Å): 7.564 7.564 7.975
angles (deg): 99.16 99.16 120.05
Element x y z (fractional)
Nd  0.409  0.068  0.204
Nd  0.274  0.274  0.794
I  0.500  0.500  0.500
Au  0.000  0.000  0.000
Si  0.666  0.334  0.000
I  0.832  0.168  0.500
Nd  0.591  0.932  0.796
I  0.168  0.832  0.500
Si  0.334  0.666  0.000
Nd  0.726  0.726  0.206
Nd  0.932  0.591  0.796
Nd  0.068  0.409  0.204

Output
- ΔE_f (raw) (eV per atom) = -0.888

No. 5
Compound: NiAu2I4
Source: Alexandria
Functional: PBE
Structure: optimized geometry

a b c (Å): 5.635 5.635 7.777
angles (deg): 68.76 68.76 90.00
Element x y z (fractional)
Ni  0.000  0.000  0.000
Au  0.600  0.600  0.799
I  0.802  0.802  0.396
I  0.500  0.000  0.000
Au  0.400  0.400  0.201
I  0.000  0.500  0.000
I  0.198  0.198  0.604

Output
- ΔE_f (raw) (eV per atom) = 0.220

No. 6
Compound: Ni3AuI
Source: Alexandria
Functional: PBE
Structure: optimized geometry

a b c (Å): 4.602 4.602 4.602
angles (deg): 90.00 90.00 90.00
Element x y z (fractional)
Ni  0.000  0.000  0.500
Ni  0.500  0.000  0.000
Ni  0.000  0.500  0.000
I  0.000  0.000  0.000
Au  0.500  0.500  0.500

Output
- energy relative to the lowest polymorph listed for this composition (eV/f.u.) = 0.000
- ΔE_f (raw) (eV per atom) = 0.990

No. 7
Compound: NiAuI4
Source: Alexandria
Functional: PBE
Structure: optimized geometry

a b c (Å): 3.975 8.532 7.902
angles (deg): 121.06 90.00 103.47
Element x y z (fractional)
I  0.120  0.240  0.730
I  0.593  0.186  0.288
Au  0.000  0.000  0.000
I  0.880  0.760  0.270
I  0.407  0.814  0.712
Ni  0.500  0.000  0.500

Output
- energy relative to the lowest polymorph listed for this composition (eV/f.u.) = 0.145
- ΔE_f (raw) (eV per atom) = 0.002

No. 8
Compound: NiAu3I
Source: Alexandria
Functional: PBE
Structure: optimized geometry

a b c (Å): 4.864 4.864 4.864
angles (deg): 90.00 90.00 90.00
Element x y z (fractional)
I  0.500  0.500  0.500
Au  0.000  0.500  0.000
Au  0.000  0.000  0.500
Ni  0.000  0.000  0.000
Au  0.500  0.000  0.000

Output
- energy relative to the lowest polymorph listed for this composition (eV/f.u.) = 0.000
- ΔE_f (raw) (eV per atom) = 0.661

No. 9
Compound: NiAuI2
Source: Alexandria
Functional: PBE
Structure: optimized geometry

a b c (Å): 6.270 6.270 7.470
angles (deg): 65.19 65.19 90.00
Element x y z (fractional)
Ni  0.250  0.750  0.500
I  0.375  0.415  0.750
I  0.585  0.125  0.250
Ni  0.500  0.500  0.000
Au  0.000  0.000  0.000
I  0.875  0.835  0.750
I  0.165  0.625  0.250
Au  0.750  0.250  0.500

Output
- energy relative to the lowest polymorph listed for this composition (eV/f.u.) = 0.000
- ΔE_f (raw) (eV per atom) = 0.127

No. 10
Compound: NiAuI2
Source: Alexandria
Functional: PBE
Structure: optimized geometry

a b c (Å): 4.086 4.086 8.466
angles (deg): 76.04 76.04 60.00
Element x y z (fractional)
Au  0.000  0.000  0.000
Ni  0.500  0.500  0.500
I  0.108  0.108  0.677
I  0.892  0.892  0.323

Output
- energy relative to the lowest polymorph listed for this composition (eV/f.u.) = 0.213
- ΔE_f (raw) (eV per atom) = 0.180

No. 11
Compound: NiAu2I6
Source: Alexandria
Functional: PBE
Structure: optimized geometry

a b c (Å): 7.363 7.513 14.479
angles (deg): 90.00 108.46 90.00
Element x y z (fractional)
I  0.334  0.787  0.941
I  0.841  0.963  0.777
I  0.797  0.667  0.090
I  0.203  0.333  0.910
I  0.703  0.167  0.410
Ni  0.000  0.000  0.500
I  0.659  0.463  0.723
Au  0.993  0.632  0.833
I  0.834  0.713  0.441
I  0.666  0.213  0.059
Ni  0.500  0.500  0.000
Au  0.507  0.132  0.667
Au  0.007  0.368  0.167
I  0.166  0.287  0.559
I  0.297  0.833  0.590
I  0.341  0.537  0.277
I  0.159  0.037  0.223
Au  0.493  0.868  0.333

Output
- ΔE_f (raw) (eV per atom) = -0.046

No. 12
Compound: NiAuI4
Source: Alexandria
Functional: PBE
Structure: optimized geometry

a b c (Å): 3.835 7.402 9.564
angles (deg): 107.37 90.00 105.01
Element x y z (fractional)
I  0.637  0.273  0.999
I  0.363  0.727  0.001
I  0.896  0.792  0.542
Au  0.000  0.000  0.000
I  0.104  0.208  0.458
Ni  0.500  0.000  0.500

Output
- energy relative to the lowest polymorph listed for this composition (eV/f.u.) = 0.000
- ΔE_f (raw) (eV per atom) = -0.022

No. 13
Compound: NiAu2I8
Source: Alexandria
Functional: PBE
Structure: optimized geometry

a b c (Å): 7.670 8.517 8.517
angles (deg): 57.44 74.12 74.12
Element x y z (fractional)
I  0.604  0.814  0.814
I  0.283  0.572  0.572
I  0.396  0.186  0.186
I  0.088  0.091  0.660
I  0.717  0.428  0.428
Au  0.335  0.737  0.737
Ni  0.000  0.000  0.000
I  0.088  0.660  0.091
I  0.912  0.340  0.909
Au  0.665  0.263  0.263
I  0.912  0.909  0.340

Output
- ΔE_f (raw) (eV per atom) = 0.089

No. 14
Compound: Ni2AuI6
Source: Alexandria
Functional: PBE
Structure: optimized geometry

a b c (Å): 6.850 10.358 10.358
angles (deg): 88.39 76.83 76.83
Element x y z (fractional)
Ni  0.562  0.722  0.832
I  0.317  0.050  0.192
I  0.352  0.366  0.941
I  0.183  0.808  0.950
I  0.565  0.300  0.379
Ni  0.062  0.832  0.722
I  0.935  0.621  0.700
I  0.148  0.059  0.634
I  0.852  0.941  0.366
I  0.435  0.700  0.621
I  0.817  0.192  0.050
I  0.648  0.634  0.059
Au  0.250  0.186  0.814
Au  0.750  0.814  0.186
Ni  0.438  0.278  0.168
I  0.683  0.950  0.808
Ni  0.938  0.168  0.278
I  0.065  0.379  0.300

Output
- ΔE_f (raw) (eV per atom) = -0.017

No. 15
Compound: NiAuI6
Source: Alexandria
Functional: PBE
Structure: optimized geometry

a b c (Å): 10.320 7.901 5.937
angles (deg): 85.62 83.28 49.22
Element x y z (fractional)
Ni  0.000  0.000  0.500
I  0.526  0.000  0.745
I  0.269  0.699  0.697
I  0.731  0.301  0.303
I  0.474  0.000  0.255
I  0.032  0.699  0.303
I  0.968  0.301  0.697
Au  0.000  0.000  0.000

Output
- ΔE_f (raw) (eV per atom) = 0.025

No. 16
Compound: NiAuI2
Source: Alexandria
Functional: PBE
Structure: optimized geometry

a b c (Å): 5.178 5.178 5.178
angles (deg): 60.00 60.00 60.00
Element x y z (fractional)
I  0.750  0.750  0.750
Ni  0.000  0.000  0.000
Au  0.500  0.500  0.500
I  0.250  0.250  0.250

Output
- energy relative to the lowest polymorph listed for this composition (eV/f.u.) = 2.504
- ΔE_f (raw) (eV per atom) = 0.753